P.
{
  "formula": "FeBOs3",
  "functional": "GGA-PBE",
  "state": "optimized geometry",
  "lattice": [[4.018, 0.000, 0.000], [0.000, 4.018, 0.000], [0.000, 0.000, 4.018]],
  "species": ["Fe", "B", "Os", "Os", "Os"],
  "fractional_positions": [[0.000, 0.000, 0.000], [0.500, 0.500, 0.500], [0.000, 0.500, 0.500], [0.500, 0.000, 0.500], [0.500, 0.500, 0.000]],
  "mass_density_g_cm3": 16.31,
  "volume_a3_per_cell": 64.9,
  "crystal_system": "cubic"
}

=====

Q.
{
  "formula": "FeBOs3",
  "functional": "GGA-PBE",
  "state": "optimized geometry",
  "lattice": [[4.375, 0.000, 0.000], [0.000, 4.375, 0.000], [0.000, 0.000, 4.375]],
  "species": ["Fe", "B", "Os", "Os", "Os"],
  "fractional_positions": [[0.000, 0.000, 0.000], [0.500, 0.500, 0.500], [0.000, 0.000, 0.500], [0.000, 0.500, 0.000], [0.500, 0.000, 0.000]],
  "mass_density_g_cm3": 12.63,
  "volume_a3_per_cell": 83.8,
  "crystal_system": "cubic"
}

=====

Most stable structure - P; separation to the second - 2097 meV/atom.